Below is a relaxed structure of Re5Sb3, with properties calculated at the PBE level.

```
data_Re5Sb3
_cell_length_a 8.1464
_cell_length_b 8.1464
_cell_length_c 5.1408
_cell_angle_alpha 90.00
_cell_angle_beta 90.00
_cell_angle_gamma 120.00
_symmetry_space_group_name_H-M 'P 63/m c m'
_symmetry_Int_Tables_number 193
_symmetry_space_group_name_Hall '-P 6c 2'
loop_
_atom_site_label
_atom_site_fract_x
_atom_site_fract_y
_atom_site_fract_z
Re1 0.0000 0.1797 0.2500
Re2 0.3333 0.6667 0.0000
Sb1 0.0000 0.3875 0.7500
```

Output
raw formation energy = 86.0 kJ/mol of atoms
crystal system = hexagonal
energy relative to the lowest polymorph listed for this composition = 0.232 eV/atom



Below is a relaxed structure of Er2Ga5Co4, with properties calculated at the PBE level.

```
data_Er2Ga5Co4
_cell_length_a 5.212
_cell_length_b 9.148
_cell_length_c 14.915
_cell_angle_alpha 90.00
_cell_angle_beta 90.00
_cell_angle_gamma 90.00
_symmetry_space_group_name_H-M 'F m m m'
_symmetry_Int_Tables_number 69
_symmetry_space_group_name_Hall '-F 2 2'
loop_
_atom_site_label
_atom_site_fract_x
_atom_site_fract_y
_atom_site_fract_z
Er1 0.000 0.000 0.149
Ga1 0.000 0.000 0.500
Ga2 0.250 0.250 0.000
Ga3 0.250 0.250 0.250
Co1 0.000 0.155 0.372
```

Output
crystal system = orthorhombic
E = -5.142 eV per atom



Below is a relaxed structure of Sb3Mo, with properties calculated at the PBE level.

```
data_Sb3Mo
_cell_length_a 4.574
_cell_length_b 4.574
_cell_length_c 8.793
_cell_angle_alpha 90.00
_cell_angle_beta 90.00
_cell_angle_gamma 90.00
_symmetry_space_group_name_H-M 'I 4/m m m'
_symmetry_Int_Tables_number 139
_symmetry_space_group_name_Hall '-I 4 2'
loop_
_atom_site_label
_atom_site_fract_x
_atom_site_fract_y
_atom_site_fract_z
Sb1 0.000 0.000 0.000
Sb2 0.000 0.500 0.250
Mo1 0.000 0.000 0.500
```

Output
raw formation energy = 61.1 kJ/mol of atoms
crystal system = tetragonal
energy relative to the lowest polymorph listed for this composition = 0.474 eV/atom



Below is a relaxed structure of Be4CrBr, with properties calculated at the PBE level.

```
data_Be4CrBr
_cell_length_a 6.296
_cell_length_b 6.296
_cell_length_c 6.296
_cell_angle_alpha 90.00
_cell_angle_beta 90.00
_cell_angle_gamma 90.00
_symmetry_space_group_name_H-M 'F -4 3 m'
_symmetry_Int_Tables_number 216
_symmetry_space_group_name_Hall 'F -4 2 3'
loop_
_atom_site_label
_atom_site_fract_x
_atom_site_fract_y
_atom_site_fract_z
Be1 0.120 0.120 0.380
Cr1 0.250 0.250 0.750
Br1 0.000 0.000 0.000
```

Output
raw formation energy = 54.4 kJ/mol of atoms
crystal system = cubic



Below is a relaxed structure of Mn2CoMo, with properties calculated at the PBE level.

```
data_Mn2CoMo
_cell_length_a 2.578
_cell_length_b 4.083
_cell_length_c 4.847
_cell_angle_alpha 90.00
_cell_angle_beta 98.64
_cell_angle_gamma 90.00
_symmetry_space_group_name_H-M 'P 1 2/m 1'
_symmetry_Int_Tables_number 10
loop_
_symmetry_equiv_pos_as_xyz
'x,y,z'
'-x,-y,-z'
'-x,y,-z'
'x,-y,z'
loop_
_atom_site_label
_atom_site_fract_x
_atom_site_fract_y
_atom_site_fract_z
Mn1 0.249 0.000 0.261
Co1 0.000 0.500 0.500
Mo1 0.500 0.500 0.000
```

Output
crystal system = monoclinic
E = -8.926 eV per atom



Below is a relaxed structure of Ac6Sn3Ge, with properties calculated at the PBE level.

```
data_Ac6Sn3Ge
_cell_length_a 14.7009
_cell_length_b 14.7009
_cell_length_c 13.5857
_cell_angle_alpha 90.00
_cell_angle_beta 90.00
_cell_angle_gamma 120.00
_symmetry_space_group_name_H-M 'R -3'
_symmetry_Int_Tables_number 148
_symmetry_space_group_name_Hall '-R 3'
loop_
_atom_site_label
_atom_site_fract_x
_atom_site_fract_y
_atom_site_fract_z
Ac1 0.0327 0.8297 0.3931
Ac2 0.0527 0.8458 0.8854
Sn1 0.0490 0.7729 0.6515
Ge1 0.0000 0.0000 0.0000
Ge2 0.0000 0.0000 0.5000
```

Output
crystal system = trigonal
E = -4.602 eV per atom



Below is a relaxed structure of Tb3TlHg5, with properties calculated at the PBE level.

```
data_Tb3TlHg5
_cell_length_a 9.0101
_cell_length_b 9.0101
_cell_length_c 6.4183
_cell_angle_alpha 90.00
_cell_angle_beta 90.00
_cell_angle_gamma 120.00
_symmetry_space_group_name_H-M 'P 63/m c m'
_symmetry_Int_Tables_number 193
_symmetry_space_group_name_Hall '-P 6c 2'
loop_
_atom_site_label
_atom_site_fract_x
_atom_site_fract_y
_atom_site_fract_z
Tb1 0.0000 0.3356 0.2500
Tl1 0.0000 0.0000 0.0000
Hg1 0.0000 0.3347 0.7500
Hg2 0.3333 0.6667 0.0000
```

Output
crystal system = hexagonal
E = -2.371 eV per atom



Below is a relaxed structure of Li2HoSn9, with properties calculated at the PBE level.

```
data_Li2HoSn9
_cell_length_a 4.616
_cell_length_b 4.616
_cell_length_c 14.254
_cell_angle_alpha 90.00
_cell_angle_beta 90.00
_cell_angle_gamma 90.00
_symmetry_space_group_name_H-M 'P 4/m m m'
_symmetry_Int_Tables_number 123
_symmetry_space_group_name_Hall '-P 4 2'
loop_
_atom_site_label
_atom_site_fract_x
_atom_site_fract_y
_atom_site_fract_z
Li1 0.000 0.000 0.166
Ho1 0.000 0.000 0.500
Sn1 0.000 0.500 0.000
Sn2 0.000 0.500 0.328
Sn3 0.500 0.500 0.163
Sn4 0.500 0.500 0.500
```

Output
crystal system = tetragonal
E = -3.929 eV per atom



What are the spin magnetization values for these records? In order: 0.00 0.01 2.70 0.00 5.00 0.00 0.00 0.00 μB per cell.